#a
# CeTmAu4

CeTmAu4 after structural relaxation (PBE-GGA, Alexandria).

As for the calculated volume: 22.22 Å³/atom.

Lattice parameters (Å, degrees): 4.7494 4.7556 8.3056 73.30 73.44 119.96
Site moments in Bohr magnetons follow the coordinates.
Element x y z (fractional)
Ce (0.5013, 0.4973, 0.9982)  0.71
Au (0.9019, 0.5644, 0.2642)  0.00
Au (0.1008, 0.4302, 0.7320)  0.00
Au (0.4338, 0.0963, 0.7321)  0.00
Au (0.5687, 0.8982, 0.2642)  0.00
Tm (0.0013, 0.9973, 0.4981)  0.04


#b
# CeTmAu4

CeTmAu4 after structural relaxation (PBE-GGA, Alexandria).

As for the calculated volume: 21.76 Å³/atom.

Lattice parameters (Å, degrees): 3.7596 3.7596 9.2364 90.00 90.00 90.00
Site moments in Bohr magnetons follow the coordinates.
Element x y z (fractional)
Au (0.0000, 0.0000, 0.3415)  0.00
Au (0.5000, 0.5000, 0.1753)  -0.01
Au (0.5000, 0.5000, 0.8247)  -0.01
Au (0.0000, 0.0000, 0.6585)  0.00
Tm (0.5000, 0.5000, 0.5000)  0.01
Ce (0.0000, 0.0000, 0.0000)  0.59


Which structure loses on stability? #a does.


#a
# Ce2YAu

Ce2YAu after structural relaxation (PBE-GGA, Alexandria).

As for the calculated volume: 27.03 Å³/atom.

Lattice parameters (Å, degrees): 3.3218 3.3218 11.4776 81.68 81.68 60.00
Site moments in Bohr magnetons follow the coordinates.
Element x y z (fractional)
Ce (0.9060, 0.9060, 0.2820)  0.46
Ce (0.0940, 0.0940, 0.7180)  0.46
Y (0.0000, 0.0000, 0.0000)  -0.02
Au (0.5000, 0.5000, 0.5000)  0.01


#b
# Ce2YAu

Ce2YAu after structural relaxation (PBE-GGA, Alexandria).

As for the calculated volume: 28.59 Å³/atom.

Lattice parameters (Å, degrees): 3.8406 3.8406 7.7522 90.00 90.00 90.00
Site moments in Bohr magnetons follow the coordinates.
Element x y z (fractional)
Ce (0.0000, 0.0000, 0.2026)  0.74
Ce (0.0000, 0.0000, 0.7974)  0.74
Y (0.5000, 0.5000, 0.5000)  0.11
Au (0.5000, 0.5000, 0.0000)  0.00


Which structure loses on stability? #a does.


#a
# CeYAu

CeYAu after structural relaxation (PBE-GGA, Alexandria).

As for the calculated volume: 27.42 Å³/atom.

Lattice parameters (Å, degrees): 3.5946 3.5946 6.8554 105.20 105.20 90.00
Site moments in Bohr magnetons follow the coordinates.
Element x y z (fractional)
Au (0.6745, 0.6745, 0.3490)  0.01
Y (0.3077, 0.3077, 0.6154)  0.15
Ce (0.0178, 0.0178, 0.0356)  0.99


#b
# CeYAu

CeYAu after structural relaxation (PBE-GGA, Alexandria).

As for the calculated volume: 26.80 Å³/atom.

Lattice parameters (Å, degrees): 3.7666 4.9646 4.9646 120.00 90.00 90.00
Site moments in Bohr magnetons follow the coordinates.
Element x y z (fractional)
Ce (0.0324, 0.0000, 0.0000)  0.79
Au (0.3737, 0.3333, 0.6667)  0.01
Y (0.5939, 0.6667, 0.3333)  0.05


Which structure loses on stability? #b does.